Record 1
# HfSiI3, relaxed, DFT PBE-GGA
# E_form (uncorrected) = 3.96 eV/f.u.
# Excess energy over the best structure of this formula in the dataset = 0.417 eV per atom
# Calculated density = 5.67 g cm⁻³
# Crystal system = cubic
data_HfSiI3
_symmetry_space_group_name_H-M 'P m -3 m'
_symmetry_Int_Tables_number 221
_symmetry_space_group_name_Hall '-P 4 2 3'
_cell_length_a 5.560
_cell_length_b 5.560
_cell_length_c 5.560
_cell_angle_alpha 90.00
_cell_angle_beta 90.00
_cell_angle_gamma 90.00
loop_
_atom_site_label
_atom_site_fract_x
_atom_site_fract_y
_atom_site_fract_z
Hf1 0.000 0.000 0.000
Si1 0.500 0.500 0.500
I1 0.000 0.500 0.500

***

Record 2
# HfSiI3, relaxed, DFT PBE-GGA
# E_form (uncorrected) = 1.87 eV/f.u.
# Excess energy over the best structure of this formula in the dataset = 0.000 eV per atom
# Calculated density = 5.35 g cm⁻³
# Crystal system = cubic
data_HfSiI3
_symmetry_space_group_name_H-M 'P m -3 m'
_symmetry_Int_Tables_number 221
_symmetry_space_group_name_Hall '-P 4 2 3'
_cell_length_a 5.671
_cell_length_b 5.671
_cell_length_c 5.671
_cell_angle_alpha 90.00
_cell_angle_beta 90.00
_cell_angle_gamma 90.00
loop_
_atom_site_label
_atom_site_fract_x
_atom_site_fract_y
_atom_site_fract_z
Hf1 0.000 0.000 0.000
Si1 0.500 0.500 0.500
I1 0.000 0.000 0.500

***

Record 3
# HfSiTeI2, relaxed, DFT PBE-GGA
# E_form (uncorrected) = 3.59 eV/f.u.
# Excess energy over the best structure of this formula in the dataset = 0.385 eV per atom
# Calculated density = 6.33 g cm⁻³
# Crystal system = tetragonal
data_HfSiTeI2
_symmetry_space_group_name_H-M 'P 4/m m m'
_symmetry_Int_Tables_number 123
_symmetry_space_group_name_Hall '-P 4 2'
_cell_length_a 5.319
_cell_length_b 5.319
_cell_length_c 5.452
_cell_angle_alpha 90.00
_cell_angle_beta 90.00
_cell_angle_gamma 90.00
loop_
_atom_site_label
_atom_site_fract_x
_atom_site_fract_y
_atom_site_fract_z
Hf1 0.000 0.000 0.000
Si1 0.500 0.500 0.500
Te1 0.500 0.500 0.000
I1 0.000 0.500 0.500

***

Record 4
# HfSiTeI2, relaxed, DFT PBE-GGA
# E_form (uncorrected) = 1.66 eV/f.u.
# Excess energy over the best structure of this formula in the dataset = 0.000 eV per atom
# Calculated density = 5.44 g cm⁻³
# Crystal system = tetragonal
data_HfSiTeI2
_symmetry_space_group_name_H-M 'P 4/m m m'
_symmetry_Int_Tables_number 123
_symmetry_space_group_name_Hall '-P 4 2'
_cell_length_a 5.653
_cell_length_b 5.653
_cell_length_c 5.613
_cell_angle_alpha 90.00
_cell_angle_beta 90.00
_cell_angle_gamma 90.00
loop_
_atom_site_label
_atom_site_fract_x
_atom_site_fract_y
_atom_site_fract_z
Hf1 0.000 0.000 0.000
Si1 0.500 0.500 0.500
Te1 0.000 0.000 0.500
I1 0.000 0.500 0.000

***

Record 5
# SmHfI2, relaxed, DFT PBE-GGA
# E_form (uncorrected) = -0.91 eV/f.u.
# Calculated density = 7.84 g cm⁻³
# Crystal system = trigonal
data_SmHfI2
_symmetry_space_group_name_H-M 'R -3 m'
_symmetry_Int_Tables_number 166
_symmetry_space_group_name_Hall '-R 3 2"'
_cell_length_a 3.6967
_cell_length_b 3.6967
_cell_length_c 31.2894
_cell_angle_alpha 90.00
_cell_angle_beta 90.00
_cell_angle_gamma 120.00
loop_
_atom_site_label
_atom_site_fract_x
_atom_site_fract_y
_atom_site_fract_z
Sm1 0.0000 0.0000 0.0000
Hf1 0.0000 0.0000 0.5000
I1 0.0000 0.0000 0.4080

***

Record 6
# Hf3SnI, relaxed, DFT PBE-GGA
# E_form (uncorrected) = 5.73 eV/f.u.
# Excess energy over the best structure of this formula in the dataset = 0.000 eV per atom
# Calculated density = 9.28 g cm⁻³
# Crystal system = cubic
data_Hf3SnI
_symmetry_space_group_name_H-M 'P m -3 m'
_symmetry_Int_Tables_number 221
_symmetry_space_group_name_Hall '-P 4 2 3'
_cell_length_a 5.189
_cell_length_b 5.189
_cell_length_c 5.189
_cell_angle_alpha 90.00
_cell_angle_beta 90.00
_cell_angle_gamma 90.00
loop_
_atom_site_label
_atom_site_fract_x
_atom_site_fract_y
_atom_site_fract_z
Hf1 0.000 0.000 0.500
Sn1 0.500 0.500 0.500
I1 0.000 0.000 0.000

***

Q: Which of these has the lowest calculated density?
A: number 2

***

Q: Which value of E_form (uncorrected) does entry 6 give?
A: 5.73 eV/f.u.